! RbAsO2F | Alexandria via LeMat-Bulk | PBE | optimized geometry; values from VASP
! SG ... P4/mmm, No. 123
! Total magnetic moment ... 0.00 μB/f.u.
! Formation energy (no corrections) ... 669.7 meV per atom
! Raw total energy ... -2.81 eV per atom
! Theoretical density ... 3.9 Mg/m³
&SYSTEM
  ibrav = 0, nat = 5, ntyp = 4
/
ATOMIC_SPECIES
Rb 85.47 Rb.upf
As 74.92 As.upf
O 16.00 O.upf
F 19.00 F.upf
ATOMIC_POSITIONS crystal
Rb 0.0000 0.0000 0.0000
As 0.5000 0.5000 0.5000
O 0.0000 0.5000 0.0000
O 0.5000 0.0000 0.0000
F 0.0000 0.0000 0.5000
CELL_PARAMETERS angstrom
4.3570 0.0000 0.0000
0.0000 4.3570 0.0000
0.0000 0.0000 4.7862